1.
First-principles (PBE-GGA) data for an optimized crystal structure of BaPPt4, as listed in Alexandria.

```
data_BaPPt4
_chemical_formula_sum 'Ba4 P4 Pt16'
_symmetry_space_group_name_H-M 'C 1 2/m 1'
_symmetry_Int_Tables_number 12
_cell_length_a 9.9197
_cell_length_b 7.1100
_cell_length_c 7.3745
_cell_angle_alpha 90.00
_cell_angle_beta 111.38
_cell_angle_gamma 90.00
loop_
_symmetry_equiv_pos_as_xyz
'x,y,z'
'-x,-y,-z'
'-x,y,-z'
'x,-y,z'
'x+1/2,y+1/2,z'
'-x+1/2,-y+1/2,-z'
'-x+1/2,y+1/2,-z'
'x+1/2,-y+1/2,z'
loop_
_atom_site_label
_atom_site_type_symbol
_atom_site_fract_x
_atom_site_fract_y
_atom_site_fract_z
Ba1 Ba 0.1646 0.0000 0.2760
P1 P 0.0657 0.5000 0.2937
Pt1 Pt 0.0000 0.2773 0.5000
Pt2 Pt 0.1092 0.2973 0.9003
Pt3 Pt 0.2221 0.0000 0.7602
```

Results
- Polymorph energy (0 for the lowest one): 0.000 eV per formula unit
- V: 20.2 A^3/atom
- Crystal system: monoclinic

---

2.
First-principles (PBE-GGA) data for an optimized crystal structure of La2MgTlC, as listed in Alexandria.

```
data_La2MgTlC
_chemical_formula_sum 'La2 Mg1 Tl1 C1'
_symmetry_space_group_name_H-M 'P 4/m m m'
_symmetry_Int_Tables_number 123
_symmetry_space_group_name_Hall '-P 4 2'
_cell_length_a 5.3174
_cell_length_b 5.3174
_cell_length_c 4.4936
_cell_angle_alpha 90.00
_cell_angle_beta 90.00
_cell_angle_gamma 90.00
loop_
_atom_site_label
_atom_site_type_symbol
_atom_site_fract_x
_atom_site_fract_y
_atom_site_fract_z
La1 La 0.0000 0.5000 0.0000
Mg1 Mg 0.0000 0.0000 0.5000
Tl1 Tl 0.5000 0.5000 0.5000
C1 C 0.0000 0.0000 0.0000
```

Results
- Total DFT energy (no corrections): -4.7974 eV per atom
- V: 25.4 A^3/atom
- Crystal system: tetragonal

---

3.
First-principles (PBE-GGA) data for an optimized crystal structure of Pr2NdDy6Tm, as listed in Alexandria.

```
data_Pr2NdDy6Tm
_chemical_formula_sum 'Pr8 Nd4 Dy24 Tm4'
_symmetry_space_group_name_H-M 'C 1 2/c 1'
_symmetry_Int_Tables_number 15
_cell_length_a 9.0782
_cell_length_b 15.0713
_cell_length_c 9.7530
_cell_angle_alpha 90.00
_cell_angle_beta 98.86
_cell_angle_gamma 90.00
loop_
_symmetry_equiv_pos_as_xyz
'x,y,z'
'-x,-y,-z'
'-x,y,-z+1/2'
'x,-y,z+1/2'
'x+1/2,y+1/2,z'
'-x+1/2,-y+1/2,-z'
'-x+1/2,y+1/2,-z+1/2'
'x+1/2,-y+1/2,z+1/2'
loop_
_atom_site_label
_atom_site_type_symbol
_atom_site_fract_x
_atom_site_fract_y
_atom_site_fract_z
Pr1 Pr 0.2461 0.0505 0.0430
Nd1 Nd 0.0000 0.0172 0.7500
Dy1 Dy 0.0686 0.1913 0.4426
Dy2 Dy 0.0978 0.3936 0.6186
Dy3 Dy 0.2043 0.2232 0.8126
Tm1 Tm 0.0000 0.4071 0.2500
```

Results
- Total DFT energy (no corrections): -4.5249 eV per atom
- V: 33.0 A^3/atom
- Crystal system: monoclinic

---

4.
First-principles (PBE-GGA) data for an optimized crystal structure of GePdN2, as listed in Alexandria.

```
data_GePdN2
_chemical_formula_sum 'Ge3 Pd3 N6'
_symmetry_space_group_name_H-M 'R -3 m'
_symmetry_Int_Tables_number 166
_symmetry_space_group_name_Hall '-R 3 2"'
_cell_length_a 3.1552
_cell_length_b 3.1552
_cell_length_c 17.6114
_cell_angle_alpha 90.00
_cell_angle_beta 90.00
_cell_angle_gamma 120.00
loop_
_atom_site_label
_atom_site_type_symbol
_atom_site_fract_x
_atom_site_fract_y
_atom_site_fract_z
Ge1 Ge 0.0000 0.0000 0.0000
Pd1 Pd 0.0000 0.0000 0.5000
N1 N 0.0000 0.0000 0.1082
```

Results
- Raw formation energy: 0.86 eV per atom
- V: 12.7 A^3/atom
- Crystal system: trigonal

---

5.
First-principles (PBE-GGA) data for an optimized crystal structure of Te4IrAu, as listed in Alexandria.

```
data_Te4IrAu
_chemical_formula_sum 'Te8 Ir2 Au2'
_symmetry_space_group_name_H-M 'P 1 21/c 1'
_symmetry_Int_Tables_number 14
_cell_length_a 6.9272
_cell_length_b 6.6991
_cell_length_c 6.6851
_cell_angle_alpha 90.00
_cell_angle_beta 93.30
_cell_angle_gamma 90.00
loop_
_symmetry_equiv_pos_as_xyz
'x,y,z'
'-x,-y,-z'
'-x,y+1/2,-z+1/2'
'x,-y+1/2,z+1/2'
loop_
_atom_site_label
_atom_site_type_symbol
_atom_site_fract_x
_atom_site_fract_y
_atom_site_fract_z
Te1 Te 0.1094 0.1384 0.1430
Te2 Te 0.3601 0.6149 0.1172
Ir1 Ir 0.0000 0.0000 0.5000
Au1 Au 0.5000 0.0000 0.0000
```

Results
- Polymorph energy (0 for the lowest one): 0.512 eV per formula unit
- Raw formation energy: -0.14 eV per atom
- V: 25.8 A^3/atom
- Crystal system: monoclinic

---

6.
First-principles (PBE-GGA) data for an optimized crystal structure of Y5Tl2Ir, as listed in Alexandria.

```
data_Y5Tl2Ir
_chemical_formula_sum 'Y10 Tl4 Ir2'
_symmetry_space_group_name_H-M 'P b a m'
_symmetry_Int_Tables_number 55
_cell_length_a 7.4954
_cell_length_b 12.4044
_cell_length_c 4.7406
_cell_angle_alpha 90.00
_cell_angle_beta 90.00
_cell_angle_gamma 90.00
loop_
_symmetry_equiv_pos_as_xyz
'x,y,z'
'-x,-y,-z'
'-x,-y,z'
'x,y,-z'
'x+1/2,-y+1/2,-z'
'-x+1/2,y+1/2,z'
'-x+1/2,y+1/2,-z'
'x+1/2,-y+1/2,z'
loop_
_atom_site_label
_atom_site_type_symbol
_atom_site_fract_x
_atom_site_fract_y
_atom_site_fract_z
Y1 Y 0.0000 0.0000 0.0000
Y2 Y 0.1369 0.2936 0.0000
Y3 Y 0.1800 0.5764 0.5000
Tl1 Tl 0.0810 0.8333 0.5000
Ir1 Ir 0.0000 0.5000 0.0000
```

Results
- Polymorph energy (0 for the lowest one): 0.000 eV per formula unit
- V: 27.5 A^3/atom
- Crystal system: orthorhombic

---

7.
First-principles (PBE-GGA) data for an optimized crystal structure of CrTc2Ag, as listed in Alexandria.

```
data_CrTc2Ag
_chemical_formula_sum 'Cr3 Tc6 Ag3'
_symmetry_space_group_name_H-M 'R 3 m'
_symmetry_Int_Tables_number 160
_symmetry_space_group_name_Hall 'R 3 -2"'
_cell_length_a 2.7268
_cell_length_b 2.7268
_cell_length_c 27.5792
_cell_angle_alpha 90.00
_cell_angle_beta 90.00
_cell_angle_gamma 120.00
loop_
_atom_site_label
_atom_site_type_symbol
_atom_site_fract_x
_atom_site_fract_y
_atom_site_fract_z
Cr1 Cr 0.0000 0.0000 0.0000
Tc1 Tc 0.0000 0.0000 0.4898
Tc2 Tc 0.0000 0.0000 0.7453
Ag1 Ag 0.0000 0.0000 0.2478
```

Results
- Polymorph energy (0 for the lowest one): 0.215 eV per formula unit
- V: 14.8 A^3/atom
- Crystal system: trigonal

---

8.
First-principles (PBE-GGA) data for an optimized crystal structure of ZrPaH, as listed in Alexandria.

```
data_ZrPaH
_chemical_formula_sum 'Zr2 Pa2 H2'
_symmetry_space_group_name_H-M 'I 4 m m'
_symmetry_Int_Tables_number 107
_symmetry_space_group_name_Hall 'I 4 -2'
_cell_length_a 3.0131
_cell_length_b 3.0131
_cell_length_c 11.5113
_cell_angle_alpha 90.00
_cell_angle_beta 90.00
_cell_angle_gamma 90.00
loop_
_atom_site_label
_atom_site_type_symbol
_atom_site_fract_x
_atom_site_fract_y
_atom_site_fract_z
Zr1 Zr 0.0000 0.0000 0.0000
Pa1 Pa 0.0000 0.0000 0.2746
H1 H 0.0000 0.0000 0.4754
```

Results
- Polymorph energy (0 for the lowest one): 0.642 eV per formula unit
- V: 17.4 A^3/atom
- Crystal system: tetragonal

---

9.
First-principles (PBE-GGA) data for an optimized crystal structure of YSc2Cr, as listed in Alexandria.

```
data_YSc2Cr
_chemical_formula_sum 'Y2 Sc4 Cr2'
_symmetry_space_group_name_H-M 'I m m m'
_symmetry_Int_Tables_number 71
_symmetry_space_group_name_Hall '-I 2 2'
_cell_length_a 3.5267
_cell_length_b 5.1290
_cell_length_c 10.4169
_cell_angle_alpha 90.00
_cell_angle_beta 90.00
_cell_angle_gamma 90.00
loop_
_atom_site_label
_atom_site_type_symbol
_atom_site_fract_x
_atom_site_fract_y
_atom_site_fract_z
Y1 Y 0.0000 0.0000 0.0000
Sc1 Sc 0.0000 0.5000 0.2153
Cr1 Cr 0.0000 0.0000 0.5000
```

Results
- Polymorph energy (0 for the lowest one): 0.000 eV per formula unit
- V: 23.6 A^3/atom
- Crystal system: orthorhombic

---

10.
First-principles (PBE-GGA) data for an optimized crystal structure of Nd4Sm2TmSc, as listed in Alexandria.

```
data_Nd4Sm2TmSc
_chemical_formula_sum 'Nd4 Sm2 Tm1 Sc1'
_symmetry_space_group_name_H-M 'P m m m'
_symmetry_Int_Tables_number 47
_cell_length_a 5.0988
_cell_length_b 5.1214
_cell_length_c 10.0218
_cell_angle_alpha 90.00
_cell_angle_beta 90.00
_cell_angle_gamma 90.00
loop_
_symmetry_equiv_pos_as_xyz
'x,y,z'
'-x,-y,-z'
'-x,-y,z'
'x,y,-z'
'x,-y,-z'
'-x,y,z'
'-x,y,-z'
'x,-y,z'
loop_
_atom_site_label
_atom_site_type_symbol
_atom_site_fract_x
_atom_site_fract_y
_atom_site_fract_z
Nd1 Nd 0.0000 0.0000 0.2457
Nd2 Nd 0.5000 0.5000 0.2467
Sm1 Sm 0.0000 0.5000 0.0000
Sm2 Sm 0.5000 0.0000 0.5000
Tm1 Tm 0.0000 0.5000 0.5000
Sc1 Sc 0.5000 0.0000 0.0000
```

Results
- Total DFT energy (no corrections): -4.8849 eV per atom
- V: 32.7 A^3/atom
- Crystal system: orthorhombic

---

11.
First-principles (PBE-GGA) data for an optimized crystal structure of CaCe4Sb6, as listed in Alexandria.

```
data_CaCe4Sb6
_chemical_formula_sum 'Ca6 Ce24 Sb36'
_symmetry_space_group_name_H-M 'R -3 c'
_symmetry_Int_Tables_number 167
_symmetry_space_group_name_Hall '-R 3 2"c'
_cell_length_a 12.1319
_cell_length_b 12.1319
_cell_length_c 15.6022
_cell_angle_alpha 90.00
_cell_angle_beta 90.00
_cell_angle_gamma 120.00
loop_
_atom_site_label
_atom_site_type_symbol
_atom_site_fract_x
_atom_site_fract_y
_atom_site_fract_z
Ca1 Ca 0.0000 0.0000 0.0000
Ce1 Ce 0.0000 0.0000 0.2500
Ce2 Ce 0.0000 0.3907 0.2500
Sb1 Sb 0.0363 0.2163 0.3865
```

Results
- Raw formation energy: -0.84 eV per atom
- V: 30.1 A^3/atom
- Crystal system: trigonal